1.
Here is an optimized crystal structure of AcNd4DyEr2 from the Alexandria database. Energies are from PBE.

Results
Energy of formation from the pure elements   36 meV per atom
Magnetic moment   0.00 μB/f.u.
DOS(E_F)   12.4 states/eV/cell

Cell lengths 5.180, 6.330, 9.694 Å; angles 89.72, 74.50, 65.85 degrees
Fractional positions:
Ac  0.500  0.500  0.500
Nd  0.122  0.125  0.631
Nd  0.373  0.376  0.879
Nd  0.878  0.875  0.369
Nd  0.627  0.624  0.121
Dy  0.000  0.000  0.000
Er  0.742  0.758  0.757
Er  0.258  0.242  0.243

2.
Here is an optimized crystal structure of AcNd3Dy6Er2 from the Alexandria database. Energies are from PBE.

Results
Energy of formation from the pure elements   28 meV per atom
Magnetic moment   0.00 μB/f.u.
DOS(E_F)   14.8 states/eV/cell

Cell lengths 6.248, 6.248, 11.935 Å; angles 94.99, 94.99, 119.98 degrees
Fractional positions:
Ac  0.000  0.000  0.000
Nd  0.167  0.833  0.500
Nd  0.833  0.167  0.500
Nd  0.500  0.500  0.500
Dy  0.916  0.580  0.749
Dy  0.747  0.747  0.251
Dy  0.084  0.420  0.251
Dy  0.580  0.916  0.749
Dy  0.253  0.253  0.749
Dy  0.420  0.084  0.251
Er  0.333  0.667  0.000
Er  0.667  0.333  0.000

3.
Here is an optimized crystal structure of AcNdDyEr2 from the Alexandria database. Energies are from PBE.

Results
Energy of formation from the pure elements   383 meV per atom
Magnetic moment   0.00 μB/f.u.
DOS(E_F)   15.8 states/eV/cell

Cell lengths 6.493, 6.438, 9.333 Å; angles 110.18, 90.00, 90.00 degrees
Fractional positions:
Ac  0.250  0.659  0.317
Ac  0.750  0.341  0.683
Nd  0.250  0.847  0.695
Nd  0.750  0.153  0.305
Dy  0.750  0.733  0.466
Dy  0.250  0.267  0.534
Er  0.500  0.251  0.000
Er  0.000  0.749  0.000
Er  0.500  0.749  0.000
Er  0.000  0.251  0.000

4.
Here is an optimized crystal structure of AcNd4Dy2Er from the Alexandria database. Energies are from PBE.

Results
Energy of formation from the pure elements   29 meV per atom
Magnetic moment   0.00 μB/f.u.
DOS(E_F)   11.8 states/eV/cell

Cell lengths 5.203, 5.162, 11.564 Å; angles 63.50, 90.00, 90.00 degrees
Fractional positions:
Ac  0.500  0.500  0.000
Nd  0.000  0.758  0.742
Nd  0.000  0.242  0.258
Nd  0.500  0.741  0.259
Nd  0.500  0.259  0.741
Dy  0.000  0.000  0.000
Dy  0.500  0.000  0.500
Er  0.000  0.500  0.500

5.
Here is an optimized crystal structure of Ac2DyErO6 from the Alexandria database. Energies are from PBE.

Results
VASP energy   -8.186 eV/atom
Magnetic moment   0.00 μB/f.u.
DOS(E_F)   0.0 states/eV/cell

Cell lengths 6.022, 6.188, 8.642 Å; angles 90.00, 90.04, 90.00 degrees
Fractional positions:
Ac  0.014  0.953  0.250
Ac  0.514  0.547  0.750
Ac  0.986  0.047  0.750
Ac  0.486  0.453  0.250
Dy  0.500  0.000  0.000
Dy  0.000  0.500  0.500
Er  0.500  0.000  0.500
Er  0.000  0.500  0.000
O  0.299  0.699  0.062
O  0.799  0.801  0.562
O  0.701  0.301  0.938
O  0.201  0.199  0.438
O  0.302  0.701  0.438
O  0.802  0.799  0.938
O  0.698  0.299  0.562
O  0.198  0.201  0.062
O  0.885  0.548  0.249
O  0.385  0.952  0.749
O  0.115  0.452  0.751
O  0.615  0.048  0.251

6.
Here is an optimized crystal structure of AcDyErPb from the Alexandria database. Energies are from PBE.

Results
Energy of formation from the pure elements   -34 meV per atom
Magnetic moment   0.00 μB/f.u.
DOS(E_F)   6.4 states/eV/cell

Cell lengths 5.597, 5.597, 5.597 Å; angles 60.00, 60.00, 60.00 degrees
Fractional positions:
Pb  0.500  0.500  0.500
Ac  0.000  0.000  0.000
Dy  0.750  0.750  0.750
Er  0.250  0.250  0.250

7.
Here is an optimized crystal structure of Ac2Pm5DyEr from the Alexandria database. Energies are from PBE.

Results
Energy of formation from the pure elements   139 meV per atom
Magnetic moment   0.00 μB/f.u.
DOS(E_F)   24.6 states/eV/cell

Cell lengths 5.808, 10.692, 10.931 Å; angles 90.00, 90.00, 105.76 degrees
Fractional positions:
Ac  0.883  0.767  0.817
Ac  0.113  0.225  0.734
Ac  0.117  0.233  0.317
Ac  0.887  0.775  0.234
Pm  0.386  0.773  0.021
Pm  0.719  0.437  0.810
Pm  0.483  0.967  0.743
Pm  0.295  0.591  0.702
Pm  0.981  0.962  0.521
Pm  0.614  0.227  0.521
Pm  0.281  0.563  0.310
Pm  0.517  0.033  0.243
Pm  0.705  0.409  0.202
Pm  0.019  0.038  0.021
Dy  0.592  0.185  0.967
Dy  0.408  0.815  0.467
Er  0.796  0.591  0.510
Er  0.204  0.409  0.010

8.
Here is an optimized crystal structure of AcPm2DyEr from the Alexandria database. Energies are from PBE.

Results
Energy of formation from the pure elements   353 meV per atom
Magnetic moment   0.00 μB/f.u.
DOS(E_F)   13.1 states/eV/cell

Cell lengths 7.343, 8.487, 7.380 Å; angles 125.10, 90.00, 90.00 degrees
Fractional positions:
Ac  0.250  0.752  0.504
Ac  0.750  0.248  0.496
Pm  0.500  0.306  0.000
Pm  0.000  0.694  0.000
Pm  0.500  0.694  0.000
Pm  0.000  0.306  0.000
Dy  0.250  0.041  0.081
Dy  0.750  0.959  0.919
Er  0.750  0.699  0.398
Er  0.250  0.301  0.602

9.
Here is an optimized crystal structure of AcPm5DyEr2 from the Alexandria database. Energies are from PBE.

Results
Energy of formation from the pure elements   84 meV per atom
Magnetic moment   0.00 μB/f.u.
DOS(E_F)   27.4 states/eV/cell

Cell lengths 5.798, 9.220, 12.163 Å; angles 90.00, 90.00, 108.33 degrees
Fractional positions:
Ac  0.615  0.230  0.924
Ac  0.385  0.770  0.424
Pm  0.420  0.839  0.089
Pm  0.768  0.536  0.720
Pm  0.422  0.844  0.765
Pm  0.231  0.462  0.629
Pm  0.940  0.879  0.572
Pm  0.580  0.161  0.589
Pm  0.232  0.464  0.220
Pm  0.578  0.156  0.265
Pm  0.769  0.538  0.129
Pm  0.060  0.121  0.072
Dy  0.748  0.496  0.424
Dy  0.252  0.504  0.924
Er  0.888  0.775  0.924
Er  0.062  0.124  0.778
Er  0.112  0.225  0.424
Er  0.938  0.876  0.278

10.
Here is an optimized crystal structure of AcPm3Dy6Er2 from the Alexandria database. Energies are from PBE.

Results
Energy of formation from the pure elements   28 meV per atom
Magnetic moment   0.00 μB/f.u.
DOS(E_F)   15.0 states/eV/cell

Cell lengths 6.233, 6.233, 11.919 Å; angles 94.99, 94.99, 119.98 degrees
Fractional positions:
Ac  0.000  0.000  0.000
Pm  0.167  0.833  0.500
Pm  0.833  0.167  0.500
Pm  0.500  0.500  0.500
Dy  0.916  0.579  0.749
Dy  0.748  0.748  0.251
Dy  0.084  0.421  0.251
Dy  0.579  0.916  0.749
Dy  0.252  0.252  0.749
Dy  0.421  0.084  0.251
Er  0.333  0.667  0.000
Er  0.667  0.333  0.000

11.
Here is an optimized crystal structure of AcPm2Dy5Er from the Alexandria database. Energies are from PBE.

Results
Energy of formation from the pure elements   264 meV per atom
Magnetic moment   0.00 μB/f.u.
DOS(E_F)   18.9 states/eV/cell

Cell lengths 8.865, 8.865, 9.966 Å; angles 116.41, 116.41, 90.00 degrees
Fractional positions:
Ac  0.250  0.250  0.500
Ac  0.750  0.750  0.500
Pm  0.116  0.384  0.000
Pm  0.616  0.116  0.000
Pm  0.384  0.884  0.000
Pm  0.884  0.616  0.000
Dy  0.926  0.426  0.265
Dy  0.662  0.162  0.735
Dy  0.074  0.574  0.735
Dy  0.162  0.074  0.735
Dy  0.574  0.662  0.735
Dy  0.838  0.926  0.265
Dy  0.426  0.338  0.265
Dy  0.338  0.838  0.265
Dy  0.500  0.500  0.000
Dy  0.000  0.000  0.000
Er  0.250  0.750  0.500
Er  0.750  0.250  0.500

12.
Here is an optimized crystal structure of AcPm5Dy2Er from the Alexandria database. Energies are from PBE.

Results
Energy of formation from the pure elements   144 meV per atom
Magnetic moment   0.00 μB/f.u.
DOS(E_F)   22.9 states/eV/cell

Cell lengths 5.554, 12.504, 9.451 Å; angles 90.00, 90.00, 102.83 degrees
Fractional positions:
Ac  0.602  0.204  0.927
Ac  0.398  0.796  0.427
Pm  0.394  0.788  0.030
Pm  0.742  0.484  0.863
Pm  0.476  0.951  0.753
Pm  0.309  0.618  0.723
Pm  0.010  0.020  0.533
Pm  0.606  0.212  0.530
Pm  0.258  0.516  0.363
Pm  0.524  0.049  0.253
Pm  0.691  0.382  0.223
Pm  0.990  0.980  0.033
Dy  0.887  0.775  0.781
Dy  0.173  0.347  0.678
Dy  0.113  0.225  0.281
Dy  0.827  0.653  0.178
Er  0.762  0.523  0.536
Er  0.238  0.477  0.036

13.
Here is an optimized crystal structure of AcPmDy3Er from the Alexandria database. Energies are from PBE.

Results
Energy of formation from the pure elements   231 meV per atom
Magnetic moment   0.00 μB/f.u.
DOS(E_F)   19.2 states/eV/cell

Cell lengths 5.683, 10.093, 7.640 Å; angles 91.35, 90.00, 106.35 degrees
Fractional positions:
Ac  0.360  0.719  0.976
Ac  0.640  0.281  0.024
Pm  0.049  0.098  0.290
Pm  0.951  0.902  0.710
Dy  0.835  0.669  0.290
Dy  0.781  0.561  0.751
Dy  0.476  0.952  0.298
Dy  0.219  0.439  0.249
Dy  0.524  0.048  0.702
Dy  0.165  0.331  0.710
Er  0.654  0.308  0.450
Er  0.346  0.692  0.550

14.
Here is an optimized crystal structure of AcPm6DyEr2 from the Alexandria database. Energies are from PBE.

Results
Energy of formation from the pure elements   122 meV per atom
Magnetic moment   0.00 μB/f.u.
DOS(E_F)   28.6 states/eV/cell

Cell lengths 9.695, 9.007, 9.007 Å; angles 117.24, 92.93, 92.93 degrees
Fractional positions:
Ac  0.250  0.970  0.030
Ac  0.750  0.030  0.970
Pm  0.055  0.122  0.754
Pm  0.445  0.246  0.878
Pm  0.945  0.878  0.246
Pm  0.555  0.754  0.122
Pm  0.318  0.992  0.447
Pm  0.182  0.553  0.008
Pm  0.682  0.008  0.553
Pm  0.818  0.447  0.992
Pm  0.118  0.709  0.488
Pm  0.382  0.512  0.291
Pm  0.882  0.291  0.512
Pm  0.618  0.488  0.709
Dy  0.250  0.412  0.588
Dy  0.750  0.588  0.412
Er  0.452  0.795  0.686
Er  0.048  0.314  0.205
Er  0.548  0.205  0.314
Er  0.952  0.686  0.795

15.
Here is an optimized crystal structure of AcPm4Dy2Er from the Alexandria database. Energies are from PBE.

Results
Energy of formation from the pure elements   118 meV per atom
Magnetic moment   0.00 μB/f.u.
DOS(E_F)   17.5 states/eV/cell

Cell lengths 5.966, 5.957, 9.795 Å; angles 52.54, 90.00, 90.00 degrees
Fractional positions:
Ac  0.500  0.500  0.000
Pm  0.000  0.771  0.729
Pm  0.000  0.229  0.271
Pm  0.500  0.728  0.272
Pm  0.500  0.272  0.728
Dy  0.000  0.000  0.000
Dy  0.500  0.000  0.500
Er  0.000  0.500  0.500

16.
Here is an optimized crystal structure of Ac2PmDyEr from the Alexandria database. Energies are from PBE.

Results
Energy of formation from the pure elements   273 meV per atom
Magnetic moment   0.00 μB/f.u.
DOS(E_F)   12.6 states/eV/cell

Cell lengths 6.677, 9.000, 6.428 Å; angles 90.01, 90.00, 90.00 degrees
Fractional positions:
Ac  0.712  0.703  0.750
Ac  0.712  0.297  0.750
Ac  0.288  0.703  0.250
Ac  0.288  0.297  0.250
Pm  0.581  0.000  0.250
Pm  0.419  0.000  0.750
Dy  0.184  0.500  0.750
Dy  0.816  0.500  0.250
Er  0.000  0.000  0.000
Er  0.000  0.000  0.500

17.
Here is an optimized crystal structure of AcPmDyEr2 from the Alexandria database. Energies are from PBE.

Results
Energy of formation from the pure elements   385 meV per atom
Magnetic moment   0.00 μB/f.u.
DOS(E_F)   15.7 states/eV/cell

Cell lengths 6.481, 6.429, 9.319 Å; angles 110.18, 90.00, 90.00 degrees
Fractional positions:
Ac  0.250  0.659  0.318
Ac  0.750  0.341  0.682
Pm  0.250  0.848  0.696
Pm  0.750  0.152  0.304
Dy  0.750  0.734  0.469
Dy  0.250  0.266  0.531
Er  0.500  0.250  0.000
Er  0.000  0.750  0.000
Er  0.500  0.750  0.000
Er  0.000  0.250  0.000

18.
Here is an optimized crystal structure of AcPm6Dy2Er from the Alexandria database. Energies are from PBE.

Results
Energy of formation from the pure elements   121 meV per atom
Magnetic moment   0.00 μB/f.u.
DOS(E_F)   28.2 states/eV/cell

Cell lengths 9.680, 9.040, 9.040 Å; angles 117.62, 92.86, 92.86 degrees
Fractional positions:
Ac  0.250  0.973  0.027
Ac  0.750  0.027  0.973
Pm  0.055  0.127  0.754
Pm  0.445  0.246  0.873
Pm  0.945  0.873  0.246
Pm  0.555  0.754  0.127
Pm  0.315  0.991  0.443
Pm  0.185  0.557  0.009
Pm  0.685  0.009  0.557
Pm  0.815  0.443  0.991
Pm  0.117  0.711  0.492
Pm  0.383  0.508  0.289
Pm  0.883  0.289  0.508
Pm  0.617  0.492  0.711
Dy  0.452  0.795  0.683
Dy  0.048  0.317  0.205
Dy  0.548  0.205  0.317
Dy  0.952  0.683  0.795
Er  0.250  0.413  0.587
Er  0.750  0.587  0.413

19.
Here is an optimized crystal structure of AcPmDy6Er2 from the Alexandria database. Energies are from PBE.

Results
Energy of formation from the pure elements   131 meV per atom
Magnetic moment   0.00 μB/f.u.
DOS(E_F)   30.1 states/eV/cell

Cell lengths 9.548, 8.900, 8.900 Å; angles 117.41, 92.61, 92.61 degrees
Fractional positions:
Ac  0.250  0.967  0.033
Ac  0.750  0.033  0.967
Pm  0.250  0.411  0.589
Pm  0.750  0.589  0.411
Dy  0.058  0.123  0.751
Dy  0.442  0.249  0.877
Dy  0.942  0.877  0.249
Dy  0.558  0.751  0.123
Dy  0.322  0.983  0.445
Dy  0.178  0.555  0.017
Dy  0.678  0.017  0.555
Dy  0.822  0.445  0.983
Dy  0.116  0.710  0.488
Dy  0.384  0.512  0.290
Dy  0.884  0.290  0.512
Dy  0.616  0.488  0.710
Er  0.451  0.800  0.688
Er  0.049  0.312  0.200
Er  0.549  0.200  0.312
Er  0.951  0.688  0.800